Arrangement P

An optimized crystal structure of Sm2DyIn2, computed with PBE.

Structure (CIF):
```
data_Sm2DyIn2
_symmetry_space_group_name_H-M 'P 1'
_symmetry_Int_Tables_number 1
_symmetry_space_group_name_Hall 'P 1'
_cell_length_a 6.0407
_cell_length_b 6.0407
_cell_length_c 6.0407
_cell_angle_alpha 131.30
_cell_angle_beta 109.13
_cell_angle_gamma 90.70
loop_
_atom_site_label
_atom_site_type_symbol
_atom_site_fract_x
_atom_site_fract_y
_atom_site_fract_z
Sm1 Sm 0.1936 0.1936 0.0000
Sm2 Sm 0.8064 0.8064 0.0000
Dy1 Dy 0.5000 0.0000 0.5000
In1 In 0.2111 0.5000 0.7111
In2 In 0.7889 0.5000 0.2889
```



Arrangement Q

An optimized crystal structure of Sm2DyIn2, computed with PBE.

Structure (CIF):
```
data_Sm2DyIn2
_symmetry_space_group_name_H-M 'P 1'
_symmetry_Int_Tables_number 1
_symmetry_space_group_name_Hall 'P 1'
_cell_length_a 3.7887
_cell_length_b 5.3909
_cell_length_c 14.2268
_cell_angle_alpha 90.00
_cell_angle_beta 97.68
_cell_angle_gamma 90.00
loop_
_atom_site_label
_atom_site_type_symbol
_atom_site_fract_x
_atom_site_fract_y
_atom_site_fract_z
Sm1 Sm 0.0471 0.2500 0.0946
Sm2 Sm 0.2370 0.2500 0.4737
Sm3 Sm 0.7630 0.7500 0.5263
Sm4 Sm 0.9529 0.7500 0.9054
Dy1 Dy 0.1474 0.7500 0.2968
Dy2 Dy 0.8526 0.2500 0.7032
In1 In 0.3576 0.7500 0.7137
In2 In 0.4482 0.2500 0.8968
In3 In 0.5518 0.7500 0.1032
In4 In 0.6424 0.2500 0.2863
```



Stability, descending: arrangement Q, arrangement P



Arrangement P

An optimized crystal structure of Sm2Dy4In, computed with PBE.

Structure (CIF):
```
data_Sm2Dy4In
_symmetry_space_group_name_H-M 'P 1'
_symmetry_Int_Tables_number 1
_symmetry_space_group_name_Hall 'P 1'
_cell_length_a 6.4904
_cell_length_b 6.2808
_cell_length_c 10.7305
_cell_angle_alpha 90.00
_cell_angle_beta 90.00
_cell_angle_gamma 90.00
loop_
_atom_site_label
_atom_site_type_symbol
_atom_site_fract_x
_atom_site_fract_y
_atom_site_fract_z
Sm1 Sm 0.0000 0.2450 0.0410
Sm2 Sm 0.0000 0.7550 0.9590
Sm3 Sm 0.5000 0.2450 0.4590
Sm4 Sm 0.5000 0.7550 0.5410
Dy1 Dy 0.0000 0.0678 0.3456
Dy2 Dy 0.0000 0.9322 0.6544
Dy3 Dy 0.2500 0.4036 0.7500
Dy4 Dy 0.2500 0.5964 0.2500
Dy5 Dy 0.5000 0.0678 0.1544
Dy6 Dy 0.5000 0.9322 0.8456
Dy7 Dy 0.7500 0.4036 0.7500
Dy8 Dy 0.7500 0.5964 0.2500
In1 In 0.0000 0.5000 0.5000
In2 In 0.5000 0.5000 0.0000
```



Arrangement Q

An optimized crystal structure of Sm2Dy4In, computed with PBE.

Structure (CIF):
```
data_Sm2Dy4In
_symmetry_space_group_name_H-M 'P 1'
_symmetry_Int_Tables_number 1
_symmetry_space_group_name_Hall 'P 1'
_cell_length_a 5.7526
_cell_length_b 6.6761
_cell_length_c 11.5829
_cell_angle_alpha 90.00
_cell_angle_beta 103.61
_cell_angle_gamma 90.00
loop_
_atom_site_label
_atom_site_type_symbol
_atom_site_fract_x
_atom_site_fract_y
_atom_site_fract_z
Sm1 Sm 0.0293 0.2500 0.4753
Sm2 Sm 0.3395 0.7500 0.0773
Sm3 Sm 0.6605 0.2500 0.9227
Sm4 Sm 0.9707 0.7500 0.5247
Dy1 Dy 0.1550 0.0067 0.7855
Dy2 Dy 0.1550 0.4933 0.7855
Dy3 Dy 0.2141 0.2500 0.0629
Dy4 Dy 0.4013 0.7500 0.3743
Dy5 Dy 0.5987 0.2500 0.6257
Dy6 Dy 0.7859 0.7500 0.9371
Dy7 Dy 0.8450 0.5067 0.2145
Dy8 Dy 0.8450 0.9933 0.2145
In1 In 0.4548 0.2500 0.3341
In2 In 0.5452 0.7500 0.6659
```



Stability, descending: arrangement P, arrangement Q



Arrangement P

An optimized crystal structure of Sm4Dy5In, computed with PBE.

Structure (CIF):
```
data_Sm4Dy5In
_symmetry_space_group_name_H-M 'P 1'
_symmetry_Int_Tables_number 1
_symmetry_space_group_name_Hall 'P 1'
_cell_length_a 4.1498
_cell_length_b 4.1498
_cell_length_c 18.2054
_cell_angle_alpha 90.00
_cell_angle_beta 90.00
_cell_angle_gamma 90.00
loop_
_atom_site_label
_atom_site_type_symbol
_atom_site_fract_x
_atom_site_fract_y
_atom_site_fract_z
Sm1 Sm 0.0000 0.0000 0.1018
Sm2 Sm 0.0000 0.0000 0.3036
Sm3 Sm 0.0000 0.0000 0.6964
Sm4 Sm 0.0000 0.0000 0.8982
Dy1 Dy 0.5000 0.5000 0.0000
Dy2 Dy 0.5000 0.5000 0.2066
Dy3 Dy 0.5000 0.5000 0.4117
Dy4 Dy 0.5000 0.5000 0.5883
Dy5 Dy 0.5000 0.5000 0.7934
In1 In 0.0000 0.0000 0.5000
```



Arrangement Q

An optimized crystal structure of Sm4Dy5In, computed with PBE.

Structure (CIF):
```
data_Sm4Dy5In
_symmetry_space_group_name_H-M 'P 1'
_symmetry_Int_Tables_number 1
_symmetry_space_group_name_Hall 'P 1'
_cell_length_a 8.0945
_cell_length_b 8.0945
_cell_length_c 8.0945
_cell_angle_alpha 97.45
_cell_angle_beta 97.45
_cell_angle_gamma 137.79
loop_
_atom_site_label
_atom_site_type_symbol
_atom_site_fract_x
_atom_site_fract_y
_atom_site_fract_z
Sm1 Sm 0.0000 0.3122 0.3122
Sm2 Sm 0.0000 0.6878 0.6878
Sm3 Sm 0.3122 0.0000 0.3122
Sm4 Sm 0.6878 0.0000 0.6878
Dy1 Dy 0.2091 0.2091 0.0000
Dy2 Dy 0.3118 0.3118 0.6299
Dy3 Dy 0.3118 0.6819 0.0000
Dy4 Dy 0.6819 0.3118 0.0000
Dy5 Dy 0.6819 0.6819 0.3701
In1 In 0.7256 0.7256 0.0000
```



Stability, descending: arrangement P, arrangement Q



Arrangement P

An optimized crystal structure of Sm3DyIn3, computed with PBE.

Structure (CIF):
```
data_Sm3DyIn3
_symmetry_space_group_name_H-M 'P 1'
_symmetry_Int_Tables_number 1
_symmetry_space_group_name_Hall 'P 1'
_cell_length_a 9.5067
_cell_length_b 9.5067
_cell_length_c 5.2106
_cell_angle_alpha 90.00
_cell_angle_beta 90.00
_cell_angle_gamma 120.00
loop_
_atom_site_label
_atom_site_type_symbol
_atom_site_fract_x
_atom_site_fract_y
_atom_site_fract_z
Sm1 Sm 0.0016 0.7642 0.2500
Sm2 Sm 0.2358 0.2374 0.2500
Sm3 Sm 0.2374 0.0016 0.7500
Sm4 Sm 0.7626 0.9984 0.2500
Sm5 Sm 0.7642 0.7626 0.7500
Sm6 Sm 0.9984 0.2358 0.7500
Dy1 Dy 0.3333 0.6667 0.2500
Dy2 Dy 0.6667 0.3333 0.7500
In1 In 0.0715 0.6145 0.7500
In2 In 0.3855 0.4570 0.7500
In3 In 0.4570 0.0715 0.2500
In4 In 0.5430 0.9285 0.7500
In5 In 0.6145 0.5430 0.2500
In6 In 0.9285 0.3855 0.2500
```



Arrangement Q

An optimized crystal structure of Sm3DyIn3, computed with PBE.

Structure (CIF):
```
data_Sm3DyIn3
_symmetry_space_group_name_H-M 'P 1'
_symmetry_Int_Tables_number 1
_symmetry_space_group_name_Hall 'P 1'
_cell_length_a 9.4491
_cell_length_b 9.4491
_cell_length_c 9.4491
_cell_angle_alpha 90.00
_cell_angle_beta 90.00
_cell_angle_gamma 90.00
loop_
_atom_site_label
_atom_site_type_symbol
_atom_site_fract_x
_atom_site_fract_y
_atom_site_fract_z
Sm1 Sm 0.0709 0.4291 0.5709
Sm2 Sm 0.1730 0.8270 0.3270
Sm3 Sm 0.1754 0.1754 0.1754
Sm4 Sm 0.3246 0.8246 0.6754
Sm5 Sm 0.3270 0.1730 0.8270
Sm6 Sm 0.4291 0.5709 0.0709
Sm7 Sm 0.5709 0.0709 0.4291
Sm8 Sm 0.6730 0.6730 0.6730
Sm9 Sm 0.6754 0.3246 0.8246
Sm10 Sm 0.8246 0.6754 0.3246
Sm11 Sm 0.8270 0.3270 0.1730
Sm12 Sm 0.9291 0.9291 0.9291
Dy1 Dy 0.0765 0.5765 0.9235
Dy2 Dy 0.4235 0.4235 0.4235
Dy3 Dy 0.5765 0.9235 0.0765
Dy4 Dy 0.9235 0.0765 0.5765
In1 In 0.0018 0.2543 0.8707
In2 In 0.1293 0.5018 0.2457
In3 In 0.2457 0.1293 0.5018
In4 In 0.2543 0.8707 0.0018
In5 In 0.3707 0.4982 0.7457
In6 In 0.4982 0.7457 0.3707
In7 In 0.5018 0.2457 0.1293
In8 In 0.6293 0.9982 0.7543
In9 In 0.7457 0.3707 0.4982
In10 In 0.7543 0.6293 0.9982
In11 In 0.8707 0.0018 0.2543
In12 In 0.9982 0.7543 0.6293
```



Stability, descending: arrangement Q, arrangement P



Arrangement P

An optimized crystal structure of Sm2Dy6In, computed with PBE.

Structure (CIF):
```
data_Sm2Dy6In
_symmetry_space_group_name_H-M 'P 1'
_symmetry_Int_Tables_number 1
_symmetry_space_group_name_Hall 'P 1'
_cell_length_a 9.6116
_cell_length_b 9.6116
_cell_length_c 9.6116
_cell_angle_alpha 159.06
_cell_angle_beta 116.10
_cell_angle_gamma 68.04
loop_
_atom_site_label
_atom_site_type_symbol
_atom_site_fract_x
_atom_site_fract_y
_atom_site_fract_z
Sm1 Sm 0.1528 0.1528 0.0000
Sm2 Sm 0.8472 0.8472 0.0000
Dy1 Dy 0.1610 0.8230 0.3379
Dy2 Dy 0.2014 0.5000 0.7014
Dy3 Dy 0.4851 0.8230 0.6621
Dy4 Dy 0.5149 0.1770 0.3379
Dy5 Dy 0.7986 0.5000 0.2986
Dy6 Dy 0.8390 0.1770 0.6621
In1 In 0.5000 0.0000 0.5000
```



Arrangement Q

An optimized crystal structure of Sm2Dy6In, computed with PBE.

Structure (CIF):
```
data_Sm2Dy6In
_symmetry_space_group_name_H-M 'P 1'
_symmetry_Int_Tables_number 1
_symmetry_space_group_name_Hall 'P 1'
_cell_length_a 6.4952
_cell_length_b 6.4952
_cell_length_c 13.8912
_cell_angle_alpha 102.14
_cell_angle_beta 102.14
_cell_angle_gamma 89.51
loop_
_atom_site_label
_atom_site_type_symbol
_atom_site_fract_x
_atom_site_fract_y
_atom_site_fract_z
Sm1 Sm 0.0401 0.3664 0.3045
Sm2 Sm 0.3664 0.0401 0.8045
Sm3 Sm 0.6336 0.9599 0.1955
Sm4 Sm 0.9599 0.6336 0.6955
Dy1 Dy 0.0726 0.6856 0.1366
Dy2 Dy 0.1626 0.1844 0.5788
Dy3 Dy 0.1844 0.1626 0.0788
Dy4 Dy 0.3144 0.9274 0.3634
Dy5 Dy 0.3209 0.6622 0.5433
Dy6 Dy 0.3378 0.6791 0.9567
Dy7 Dy 0.6622 0.3209 0.0433
Dy8 Dy 0.6791 0.3378 0.4567
Dy9 Dy 0.6856 0.0726 0.6366
Dy10 Dy 0.8156 0.8374 0.9212
Dy11 Dy 0.8374 0.8156 0.4212
Dy12 Dy 0.9274 0.3144 0.8634
In1 In 0.4912 0.5088 0.7500
In2 In 0.5088 0.4912 0.2500
```



Stability, descending: arrangement Q, arrangement P



Arrangement P

An optimized crystal structure of Sm6DyIn5, computed with PBE.

Structure (CIF):
```
data_Sm6DyIn5
_symmetry_space_group_name_H-M 'P 1'
_symmetry_Int_Tables_number 1
_symmetry_space_group_name_Hall 'P 1'
_cell_length_a 7.7895
_cell_length_b 7.7895
_cell_length_c 6.2101
_cell_angle_alpha 99.12
_cell_angle_beta 99.12
_cell_angle_gamma 95.08
loop_
_atom_site_label
_atom_site_type_symbol
_atom_site_fract_x
_atom_site_fract_y
_atom_site_fract_z
Sm1 Sm 0.0408 0.4051 0.7298
Sm2 Sm 0.2174 0.2174 0.2126
Sm3 Sm 0.4051 0.0408 0.7298
Sm4 Sm 0.5949 0.9592 0.2702
Sm5 Sm 0.7826 0.7826 0.7874
Sm6 Sm 0.9592 0.5949 0.2702
Dy1 Dy 0.5000 0.5000 0.0000
In1 In 0.0000 0.0000 0.5000
In2 In 0.2079 0.7921 0.0000
In3 In 0.3689 0.6311 0.5000
In4 In 0.6311 0.3689 0.5000
In5 In 0.7921 0.2079 0.0000
```



Arrangement Q

An optimized crystal structure of Sm6DyIn5, computed with PBE.

Structure (CIF):
```
data_Sm6DyIn5
_symmetry_space_group_name_H-M 'P 1'
_symmetry_Int_Tables_number 1
_symmetry_space_group_name_Hall 'P 1'
_cell_length_a 9.1887
_cell_length_b 9.1887
_cell_length_c 9.1887
_cell_angle_alpha 148.20
_cell_angle_beta 121.36
_cell_angle_gamma 68.27
loop_
_atom_site_label
_atom_site_type_symbol
_atom_site_fract_x
_atom_site_fract_y
_atom_site_fract_z
Sm1 Sm 0.0680 0.3295 0.7384
Sm2 Sm 0.2320 0.0000 0.2320
Sm3 Sm 0.4089 0.6705 0.7384
Sm4 Sm 0.5911 0.3295 0.2616
Sm5 Sm 0.7680 0.0000 0.7680
Sm6 Sm 0.9320 0.6705 0.2616
Dy1 Dy 0.5000 0.5000 0.0000
In1 In 0.0000 0.5000 0.5000
In2 In 0.1741 0.1741 0.0000
In3 In 0.3475 0.8475 0.5000
In4 In 0.6525 0.1525 0.5000
In5 In 0.8259 0.8259 0.0000
```



Stability, descending: arrangement Q, arrangement P



Arrangement P

An optimized crystal structure of Sm2DyIn, computed with PBE.

Structure (CIF):
```
data_Sm2DyIn
_symmetry_space_group_name_H-M 'P 1'
_symmetry_Int_Tables_number 1
_symmetry_space_group_name_Hall 'P 1'
_cell_length_a 5.5135
_cell_length_b 5.5135
_cell_length_c 5.5135
_cell_angle_alpha 60.00
_cell_angle_beta 60.00
_cell_angle_gamma 60.00
loop_
_atom_site_label
_atom_site_type_symbol
_atom_site_fract_x
_atom_site_fract_y
_atom_site_fract_z
Sm1 Sm 0.0000 0.0000 0.0000
Sm2 Sm 0.2500 0.2500 0.2500
Dy1 Dy 0.7500 0.7500 0.7500
In1 In 0.5000 0.5000 0.5000
```



Arrangement Q

An optimized crystal structure of Sm2DyIn, computed with PBE.

Structure (CIF):
```
data_Sm2DyIn
_symmetry_space_group_name_H-M 'P 1'
_symmetry_Int_Tables_number 1
_symmetry_space_group_name_Hall 'P 1'
_cell_length_a 3.6092
_cell_length_b 3.6092
_cell_length_c 9.4270
_cell_angle_alpha 90.00
_cell_angle_beta 90.00
_cell_angle_gamma 90.00
loop_
_atom_site_label
_atom_site_type_symbol
_atom_site_fract_x
_atom_site_fract_y
_atom_site_fract_z
Sm1 Sm 0.0000 0.0000 0.2279
Sm2 Sm 0.0000 0.0000 0.7721
Dy1 Dy 0.5000 0.5000 0.5000
In1 In 0.5000 0.5000 0.0000
```



Arrangement R

An optimized crystal structure of Sm2DyIn, computed with PBE.

Structure (CIF):
```
data_Sm2DyIn
_symmetry_space_group_name_H-M 'P 1'
_symmetry_Int_Tables_number 1
_symmetry_space_group_name_Hall 'P 1'
_cell_length_a 4.8907
_cell_length_b 4.8907
_cell_length_c 4.9336
_cell_angle_alpha 90.00
_cell_angle_beta 90.00
_cell_angle_gamma 90.00
loop_
_atom_site_label
_atom_site_type_symbol
_atom_site_fract_x
_atom_site_fract_y
_atom_site_fract_z
Sm1 Sm 0.0000 0.5000 0.0000
Sm2 Sm 0.5000 0.0000 0.0000
Dy1 Dy 0.0000 0.0000 0.5000
In1 In 0.5000 0.5000 0.5000
```



Stability, descending: arrangement R, arrangement Q, arrangement P



Arrangement P

An optimized crystal structure of SmDyIn6, computed with PBE.

Structure (CIF):
```
data_SmDyIn6
_symmetry_space_group_name_H-M 'P 1'
_symmetry_Int_Tables_number 1
_symmetry_space_group_name_Hall 'P 1'
_cell_length_a 5.3160
_cell_length_b 6.6593
_cell_length_c 6.6593
_cell_angle_alpha 59.99
_cell_angle_beta 90.00
_cell_angle_gamma 90.00
loop_
_atom_site_label
_atom_site_type_symbol
_atom_site_fract_x
_atom_site_fract_y
_atom_site_fract_z
Sm1 Sm 0.0000 0.0000 0.0000
Dy1 Dy 0.5000 0.3316 0.3316
In1 In 0.0000 0.5023 0.5023
In2 In 0.0000 0.5039 0.9890
In3 In 0.0000 0.9890 0.5039
In4 In 0.5000 0.3487 0.8251
In5 In 0.5000 0.8251 0.3487
In6 In 0.5000 0.8268 0.8268
```



Arrangement Q

An optimized crystal structure of SmDyIn6, computed with PBE.

Structure (CIF):
```
data_SmDyIn6
_symmetry_space_group_name_H-M 'P 1'
_symmetry_Int_Tables_number 1
_symmetry_space_group_name_Hall 'P 1'
_cell_length_a 4.6619
_cell_length_b 4.6619
_cell_length_c 9.3188
_cell_angle_alpha 90.00
_cell_angle_beta 90.00
_cell_angle_gamma 90.00
loop_
_atom_site_label
_atom_site_type_symbol
_atom_site_fract_x
_atom_site_fract_y
_atom_site_fract_z
Sm1 Sm 0.0000 0.0000 0.0000
Dy1 Dy 0.0000 0.0000 0.5000
In1 In 0.0000 0.5000 0.2528
In2 In 0.0000 0.5000 0.7472
In3 In 0.5000 0.0000 0.2528
In4 In 0.5000 0.0000 0.7472
In5 In 0.5000 0.5000 0.0000
In6 In 0.5000 0.5000 0.5000
```



Stability, descending: arrangement Q, arrangement P